Entry 1:
Density functional theory data (GGA-PBEsol) for crystalline CaFeP3 at its relaxed geometry.

Cell lengths 4.9721, 4.9721, 4.9721 Å; angles 90.00, 90.00, 90.00 degrees
Fractional coordinates of all 5 atoms:
Ca1 0.0000 0.0000 0.0000
Fe1 0.5000 0.5000 0.5000
P1 0.0000 0.0000 0.5000
P2 0.0000 0.5000 0.0000
P3 0.5000 0.0000 0.0000

=====

Entry 2:
Density functional theory data (GGA-PBEsol) for crystalline CaFeP at its relaxed geometry.

Cell lengths 4.3218, 4.3218, 4.3218 Å; angles 60.00, 60.00, 60.00 degrees
Fractional coordinates of all 3 atoms:
Ca1 0.0000 0.0000 0.0000
Fe1 0.5000 0.5000 0.5000
P1 0.2500 0.2500 0.2500

=====

Entry 3:
Density functional theory data (GGA-PBEsol) for crystalline Ca2FePb at its relaxed geometry.

Cell lengths 5.3172, 5.3172, 5.3172 Å; angles 123.52, 123.52, 84.00 degrees
Fractional coordinates of all 4 atoms:
Ca1 0.2500 0.7500 0.5000
Ca2 0.7500 0.2500 0.5000
Fe1 0.0000 0.0000 0.0000
Pb1 0.5000 0.5000 0.0000

=====

Number 1: DFT formation energy 37.41 kcal/mol of atoms, size of the total moment 3.62 μB per cell. Number 2: DFT formation energy -4.23 kcal/mol of atoms, size of the total moment 3.00 μB per cell. Number 3: DFT formation energy 3.13 kcal/mol of atoms, size of the total moment 2.87 μB per cell.